TbPm2Ru: optimized geometry, PBE.

Lattice parameters (Å, degrees): 3.497 3.497 9.179 90.00 90.00 90.00
Element x y z (fractional)
Tb  0.000  0.000  0.000
Pm  0.500  0.500  0.314
Pm  0.500  0.500  0.686
Ru  0.000  0.000  0.500

final energy	-5.915	eV per atom
distance to the lowest polymorph of the same formula	177	meV/atom
calculated formation energy	-0.3	eV/f.u.
total moment	0.00	μB/f.u.
mass density	8.1	g/cm3